Computed, not measured: a geometry-optimized Pa2ZnAu structure at the PBE level of DFT.

Unit cell a=4.4960 b=4.3588 c=4.3588 alpha=90.00 beta=90.00 gamma=90.00
Atoms (fractional coordinates):
Zn: 0.5000 0.5000 0.5000
Pa: 0.0000 0.0000 0.5000
Pa: 0.0000 0.5000 0.0000
Au: 0.5000 0.0000 0.0000

Properties
For the calculated formation energy, the calculation gives -0.157 eV per atom. The value obtained for the excess energy over the best structure of this formula in the dataset is 0 meV/atom.

***

Computed, not measured: a geometry-optimized Ho3Zn9Ir2 structure at the PBE level of DFT.

Unit cell a=4.3138 b=8.0656 c=8.0655 alpha=67.50 beta=74.49 gamma=74.49
Atoms (fractional coordinates):
Ho: 0.0000 0.0000 0.0000
Ho: 0.6911 0.3089 0.3089
Ho: 0.3089 0.6911 0.6911
Zn: 0.0000 0.5000 0.5000
Zn: 0.6649 0.9747 0.6955
Zn: 0.3351 0.0253 0.3045
Zn: 0.6649 0.6955 0.9747
Zn: 0.3351 0.3045 0.0253
Zn: 0.8720 0.8494 0.4066
Zn: 0.1280 0.1506 0.5934
Zn: 0.8720 0.4066 0.8494
Zn: 0.1280 0.5934 0.1506
Ir: 0.5000 0.3138 0.6862
Ir: 0.5000 0.6862 0.3138

Properties
For the calculated formation energy, the calculation gives -0.407 eV per atom.